# Y2Er2Co | Alexandria | PBE-GGA | optimized geometry
# **Formation enthalpy at 0 K**: -0.07 eV per atom
# **Calculated density**: 6.900 g/cm3
# **DOS at the Fermi energy**: 11.92 states/eV per cell
# **Energy**: -5.898 eV per atom
# **Size of the total moment**: 0.00 μB/f.u.
data_Y2Er2Co
_cell_length_a 7.328
_cell_length_b 6.823
_cell_length_c 7.909
_cell_angle_alpha 72.30
_cell_angle_beta 55.51
_cell_angle_gamma 57.52
_space_group_name_H-M_alt 'P 1'
_space_group_IT_number 1
loop_
_space_group_symop_operation_xyz
'x,y,z'
loop_
_atom_site_label
_atom_site_type_symbol
_atom_site_fract_x
_atom_site_fract_y
_atom_site_fract_z
Y1 Y 0.166 0.000 0.106
Y2 Y 0.352 0.000 0.406
Y3 Y 0.834 0.000 0.894
Y4 Y 0.648 0.000 0.594
Co1 Co 0.123 0.754 0.500
Co2 Co 0.877 0.246 0.500
Er1 Er 0.438 0.546 0.742
Er2 Er 0.984 0.454 0.742
Er3 Er 0.562 0.454 0.258
Er4 Er 0.016 0.546 0.258



# AlSi3Ru | Alexandria | PBE-GGA | optimized geometry
# **Relative energy among the computed polymorphs**: 0.000 eV per atom
# **Calculated density**: 3.592 g/cm3
# **Energy relative to the elements, uncorrected**: 0.465 eV/atom
# **DOS at the Fermi energy**: 2.53 states/eV per cell
# **Energy**: -5.393 eV per atom
# **Size of the total moment**: 0.00 μB/f.u.
data_AlSi3Ru
_cell_length_a 4.613
_cell_length_b 4.613
_cell_length_c 4.613
_cell_angle_alpha 90.00
_cell_angle_beta 90.00
_cell_angle_gamma 90.00
_space_group_name_H-M_alt 'P 1'
_space_group_IT_number 1
loop_
_space_group_symop_operation_xyz
'x,y,z'
loop_
_atom_site_label
_atom_site_type_symbol
_atom_site_fract_x
_atom_site_fract_y
_atom_site_fract_z
Si1 Si 0.500 0.000 0.000
Si2 Si 0.000 0.000 0.500
Si3 Si 0.000 0.500 0.000
Al1 Al 0.500 0.500 0.500
Ru1 Ru 0.000 0.000 0.000



# Eu3S2F4 | Alexandria | PBE-GGA | optimized geometry
# **Calculated density**: 6.261 g/cm3
# **Energy relative to the elements, uncorrected**: -3.044 eV/atom
# **DOS at the Fermi energy**: 30.05 states/eV per cell
# **Energy**: -8.218 eV per atom
# **Size of the total moment**: 5.93 μB/f.u.
data_Eu3S2F4
_cell_length_a 10.280
_cell_length_b 10.280
_cell_length_c 10.280
_cell_angle_alpha 157.57
_cell_angle_beta 157.57
_cell_angle_gamma 31.93
_space_group_name_H-M_alt 'P 1'
_space_group_IT_number 1
loop_
_space_group_symop_operation_xyz
'x,y,z'
loop_
_atom_site_label
_atom_site_type_symbol
_atom_site_fract_x
_atom_site_fract_y
_atom_site_fract_z
S1 S 0.197 0.197 0.000
S2 S 0.803 0.803 0.000
F1 F 0.070 0.570 0.500
F2 F 0.570 0.070 0.500
F3 F 0.430 0.930 0.500
F4 F 0.930 0.430 0.500
Eu1 Eu 0.343 0.343 0.000
Eu2 Eu 0.657 0.657 0.000
Eu3 Eu 0.000 0.000 0.000